No. 1
Material: BaSbIrO6
Method: DFT, PBE
State: relaxed

Lattice parameters (Å, degrees): 5.3720 5.3720 5.8280 90.00 90.00 120.00
Atoms (fractional coordinates):
1 Ba 0.0000 0.0000 0.0000
2 Sb 0.3333 0.6667 0.5000
3 Ir 0.6667 0.3333 0.5000
4 O 0.3868 0.0062 0.6924
5 O 0.3868 0.3806 0.3076
6 O 0.6194 0.0062 0.3076
7 O 0.6194 0.6132 0.6924
8 O 0.9938 0.3806 0.6924
9 O 0.9938 0.6132 0.3076

Calculated values
Final energy (eV/atom): -6.515
Formation energy (no corrections) (meV/atom): -1553
Mass density (Mg/m³): 6.240

=====

No. 2
Material: NdGa3Pd10
Method: DFT, PBE
State: relaxed

Lattice parameters (Å, degrees): 8.8366 8.8366 8.8366 60.00 60.00 60.00
Atoms (fractional coordinates):
1 Nd 0.2500 0.2500 0.2500
2 Nd 0.7500 0.7500 0.7500
3 Ga 0.2304 0.2304 0.7696
4 Ga 0.2304 0.7696 0.2304
5 Ga 0.2304 0.7696 0.7696
6 Ga 0.7696 0.2304 0.2304
7 Ga 0.7696 0.2304 0.7696
8 Ga 0.7696 0.7696 0.2304
9 Pd 0.1186 0.1186 0.1186
10 Pd 0.1186 0.1186 0.6442
11 Pd 0.1186 0.6442 0.1186
12 Pd 0.1549 0.5000 0.5000
13 Pd 0.1549 0.5000 0.8451
14 Pd 0.1549 0.8451 0.5000
15 Pd 0.3558 0.8814 0.8814
16 Pd 0.5000 0.1549 0.5000
17 Pd 0.5000 0.1549 0.8451
18 Pd 0.5000 0.5000 0.1549
19 Pd 0.5000 0.5000 0.8451
20 Pd 0.5000 0.8451 0.1549
21 Pd 0.5000 0.8451 0.5000
22 Pd 0.6442 0.1186 0.1186
23 Pd 0.8451 0.1549 0.5000
24 Pd 0.8451 0.5000 0.1549
25 Pd 0.8451 0.5000 0.5000
26 Pd 0.8814 0.3558 0.8814
27 Pd 0.8814 0.8814 0.3558
28 Pd 0.8814 0.8814 0.8814

Calculated values
Final energy (eV/atom): -5.225
Mass density (Mg/m³): 9.649
E_form (meV per atom): -526

=====

No. 3
Material: MnRu2
Method: DFT, PBE
State: relaxed

Lattice parameters (Å, degrees): 11.7178 11.7178 11.7178 161.57 161.57 26.18
Atoms (fractional coordinates):
1 Mn 0.2941 0.5441 0.7500
2 Mn 0.4559 0.7059 0.7500
3 Mn 0.5441 0.2941 0.2500
4 Mn 0.7059 0.4559 0.2500
5 Ru 0.0407 0.7907 0.2500
6 Ru 0.1265 0.3765 0.7500
7 Ru 0.2093 0.9593 0.2500
8 Ru 0.3765 0.1265 0.2500
9 Ru 0.6235 0.8735 0.7500
10 Ru 0.7907 0.0407 0.7500
11 Ru 0.8735 0.6235 0.2500
12 Ru 0.9593 0.2093 0.7500

Calculated values
Final energy (eV/atom): -9.171
Mass density (Mg/m³): 10.623
E_form (meV per atom): 70

=====

No. 4
Material: GaCoOs
Method: DFT, PBE
State: relaxed

Lattice parameters (Å, degrees): 4.4882 4.4882 5.2727 102.36 102.36 50.15
Atoms (fractional coordinates):
1 Ga 0.0000 0.0000 0.0000
2 Ga 0.6880 0.6880 0.3226
3 Co 0.3681 0.3681 0.1636
4 Co 0.6707 0.6707 0.8489
5 Os 0.0146 0.0146 0.5204
6 Os 0.3333 0.3333 0.6596

Calculated values
Final energy (eV/atom): -7.048
Mass density (Mg/m³): 13.366
E_form (meV per atom): 73

=====

No. 5
Material: NdY2GaC
Method: DFT, PBE
State: relaxed

Lattice parameters (Å, degrees): 4.8805 4.8805 5.0774 90.00 90.00 90.00
Atoms (fractional coordinates):
1 Nd 0.0000 0.0000 0.0000
2 Y 0.0000 0.5000 0.5000
3 Y 0.5000 0.0000 0.5000
4 Ga 0.5000 0.5000 0.0000
5 C 0.0000 0.0000 0.5000

Calculated values
Final energy (eV/atom): -6.381
Mass density (Mg/m³): 5.544
E_form (meV per atom): -392

=====

No. 6
Material: Na3In3Pt2
Method: DFT, PBE
State: relaxed

Lattice parameters (Å, degrees): 8.4591 15.8746 5.9827 90.00 90.00 90.00
Atoms (fractional coordinates):
1 Na 0.0330 0.1105 0.0946
2 Na 0.0330 0.3895 0.0946
3 Na 0.1714 0.2500 0.6353
4 Na 0.3286 0.7500 0.1353
5 Na 0.4670 0.6105 0.5946
6 Na 0.4670 0.8895 0.5946
7 Na 0.5330 0.1105 0.4054
8 Na 0.5330 0.3895 0.4054
9 Na 0.6714 0.2500 0.8647
10 Na 0.8286 0.7500 0.3647
11 Na 0.9670 0.6105 0.9054
12 Na 0.9670 0.8895 0.9054
13 In 0.1646 0.7500 0.6127
14 In 0.1755 0.0416 0.6052
15 In 0.1755 0.4584 0.6052
16 In 0.3245 0.5416 0.1052
17 In 0.3245 0.9584 0.1052
18 In 0.3354 0.2500 0.1127
19 In 0.6646 0.7500 0.8873
20 In 0.6755 0.0416 0.8948
21 In 0.6755 0.4584 0.8948
22 In 0.8245 0.5416 0.3948
23 In 0.8245 0.9584 0.3948
24 In 0.8354 0.2500 0.3873
25 Pt 0.1195 0.6061 0.3977
26 Pt 0.1195 0.8939 0.3977
27 Pt 0.3805 0.1061 0.8977
28 Pt 0.3805 0.3939 0.8977
29 Pt 0.6195 0.6061 0.1023
30 Pt 0.6195 0.8939 0.1023
31 Pt 0.8805 0.1061 0.6023
32 Pt 0.8805 0.3939 0.6023

Calculated values
Final energy (eV/atom): -3.370
Mass density (Mg/m³): 6.644
E_form (meV per atom): -338

=====

No. 7
Material: Li2IrAu
Method: DFT, PBE
State: relaxed

Lattice parameters (Å, degrees): 2.9866 4.2575 4.5830 90.00 90.00 90.00
Atoms (fractional coordinates):
1 Li 0.0000 0.0000 0.0000
2 Li 0.5000 0.0000 0.5000
3 Ir 0.0000 0.5000 0.5000
4 Au 0.5000 0.5000 0.0000

Calculated values
Final energy (eV/atom): -4.177
Mass density (Mg/m³): 11.485
E_form (meV per atom): -185

=====

No. 8
Material: Pr4Nd7Sm
Method: DFT, PBE
State: relaxed

Lattice parameters (Å, degrees): 6.4370 7.4105 9.2215 89.90 76.48 89.88
Atoms (fractional coordinates):
1 Pr 0.2195 0.2518 0.3309
2 Pr 0.2794 0.9994 0.6687
3 Pr 0.7206 0.0006 0.3313
4 Pr 0.7805 0.7482 0.6691
5 Nd 0.9998 0.2511 0.9996
6 Nd 0.0002 0.7489 0.0004
7 Nd 0.2202 0.7494 0.3304
8 Nd 0.2810 0.4993 0.6690
9 Nd 0.5000 0.0000 0.0000
10 Nd 0.7190 0.5007 0.3310
11 Nd 0.7798 0.2506 0.6696
12 Sm 0.5000 0.5000 0.0000

Calculated values
Final energy (eV/atom): -4.753
E above lowest polymorph (eV per formula unit): 0.00
Mass density (Mg/m³): 6.692
E_form (meV per atom): 14

=====

No. 9
Material: BPHRu2
Method: DFT, PBE
State: relaxed

Lattice parameters (Å, degrees): 4.0467 4.0467 2.9501 90.00 90.00 90.00
Atoms (fractional coordinates):
1 B 0.0000 0.0000 0.0000
2 P 0.5000 0.5000 0.0000
3 H 0.0000 0.0000 0.5000
4 Ru 0.0000 0.5000 0.5000
5 Ru 0.5000 0.0000 0.5000

Calculated values
Final energy (eV/atom): -6.563
Mass density (Mg/m³): 8.419